A plane-wave DFT calculation with PBE was carried out for an optimized crystal structure of LaDyPdRh.

Cell: 4.558 3.815 10.657 Å, 90.00 90.00 90.00°
Space group Amm2 (No. 38)
Symmetry-distinct sites (fractional):
La 0.000 0.000 0.000 [2 per cell]
Dy 0.500 0.000 0.279 [2 per cell]
Pd 0.500 0.000 0.563 [2 per cell]
Rh 0.000 0.000 0.741 [2 per cell]

- Density of states at the Fermi level: 0.633 states/eV/atom
- Magnetic moment: 0.000 μB per formula unit
- ΔE to the lowest computed polymorph: 0.0000 eV per atom



A plane-wave DFT calculation with PBE was carried out for an optimized crystal structure of LaDyPdS3.

Cell: 8.004 3.926 8.715 Å, 90.00 103.35 90.00°
Space group P2_1/m (No. 11)
Symmetry-distinct sites (fractional):
La 0.186 0.250 0.251 [2 per cell]
Dy 0.323 0.750 0.824 [2 per cell]
Pd 0.105 0.250 0.596 [2 per cell]
S 0.095 0.250 0.874 [2 per cell]
S 0.256 0.750 0.504 [2 per cell]
S 0.424 0.750 0.154 [2 per cell]

- Density of states at the Fermi level: 0.118 states/eV/atom
- Magnetic moment: 0.000 μB per formula unit
- ΔE_f (raw): -1.766 eV per atom



A plane-wave DFT calculation with PBE was carried out for an optimized crystal structure of LaDyPdSe3.

Cell: 8.024 4.060 9.356 Å, 90.00 103.25 90.00°
Space group P2_1/m (No. 11)
Symmetry-distinct sites (fractional):
La 0.197 0.250 0.275 [2 per cell]
Dy 0.316 0.750 0.824 [2 per cell]
Pd 0.094 0.250 0.598 [2 per cell]
Se 0.079 0.250 0.869 [2 per cell]
Se 0.272 0.750 0.519 [2 per cell]
Se 0.419 0.750 0.149 [2 per cell]

- Density of states at the Fermi level: 0.078 states/eV/atom
- Magnetic moment: 0.000 μB per formula unit
- ΔE_f (raw): -1.645 eV per atom



A plane-wave DFT calculation with PBE was carried out for an optimized crystal structure of La2DyPdSe5.

Cell: 4.064 17.600 12.621 Å, 90.00 90.00 90.00°
Space group Cmc2_1 (No. 36)
Symmetry-distinct sites (fractional):
La 0.000 0.110 0.000 [4 per cell]
La 0.000 0.125 0.351 [4 per cell]
Dy 0.000 0.176 0.676 [4 per cell]
Pd 0.000 0.444 0.078 [4 per cell]
Se 0.000 0.014 0.679 [4 per cell]
Se 0.000 0.303 0.012 [4 per cell]
Se 0.000 0.307 0.338 [4 per cell]
Se 0.000 0.340 0.672 [4 per cell]
Se 0.000 0.500 0.395 [4 per cell]

- Density of states at the Fermi level: 0.303 states/eV/atom
- Magnetic moment: 0.000 μB per formula unit
- ΔE_f (raw): -1.674 eV per atom



A plane-wave DFT calculation with PBE was carried out for an optimized crystal structure of LaDySi2Pd5.

Cell: 4.241 4.241 9.040 Å, 90.00 90.00 90.00°
Space group P4/mmm (No. 123)
Symmetry-distinct sites (fractional):
La 0.000 0.000 0.000 [1 per cell]
Dy 0.000 0.000 0.500 [1 per cell]
Si 0.500 0.500 0.370 [2 per cell]
Pd 0.000 0.500 0.239 [4 per cell]
Pd 0.500 0.500 0.000 [1 per cell]

- Density of states at the Fermi level: 0.337 states/eV/atom
- Magnetic moment: 0.000 μB per formula unit
- ΔE_f (raw): -0.891 eV per atom



A plane-wave DFT calculation with PBE was carried out for an optimized crystal structure of La2DySn3Pd6.

Cell: 4.125 4.125 17.785 Å, 90.00 90.00 90.00°
Space group P4/mmm (No. 123)
Symmetry-distinct sites (fractional):
La 0.000 0.000 0.185 [2 per cell]
Dy 0.000 0.000 0.500 [1 per cell]
Sn 0.500 0.500 0.000 [1 per cell]
Sn 0.500 0.500 0.294 [2 per cell]
Pd 0.000 0.500 0.388 [4 per cell]
Pd 0.500 0.500 0.143 [2 per cell]

- DFT total energy: -64.382 eV for the cell shown
- Density of states at the Fermi level: 0.615 states/eV/atom
- Magnetic moment: 0.000 μB per formula unit



A plane-wave DFT calculation with PBE was carried out for an optimized crystal structure of LaDyTlPd.

Cell: 7.517 7.517 7.517 Å, 90.00 90.00 90.00°
Space group F-43m (No. 216)
Symmetry-distinct sites (fractional):
La 0.000 0.000 0.000 [4 per cell]
Dy 0.000 0.000 0.500 [4 per cell]
Tl 0.250 0.250 0.250 [4 per cell]
Pd 0.250 0.250 0.750 [4 per cell]

- DFT total energy: -76.410 eV for the cell shown
- Density of states at the Fermi level: 1.023 states/eV/atom
- Magnetic moment: 0.000 μB per formula unit



A plane-wave DFT calculation with PBE was carried out for an optimized crystal structure of LaDyZnPd.

Cell: 7.271 7.271 7.271 Å, 90.00 90.00 90.00°
Space group F-43m (No. 216)
Symmetry-distinct sites (fractional):
La 0.000 0.000 0.000 [4 per cell]
Dy 0.000 0.000 0.500 [4 per cell]
Zn 0.250 0.250 0.750 [4 per cell]
Pd 0.250 0.250 0.250 [4 per cell]

- Density of states at the Fermi level: 0.824 states/eV/atom
- Magnetic moment: 0.000 μB per formula unit
- ΔE to the lowest computed polymorph: 0.0211 eV per atom